Entry from Alexandria: a PBEsol-optimized structure of Li2YBe (meta-GGA SCAN).

Calculated values
The calculation puts the energy relative to the elements at 0.27 eV per atom. The space-group type is I4/mmm, No. 139.

Unit cell a=4.423 b=4.725 c=4.423 alpha=62.09 beta=90.00 gamma=117.91
Fractional positions:
Y 0.500 0.000 0.500
Li 0.750 0.500 0.750
Li 0.250 0.500 0.250
Be 0.000 0.000 0.000